[1]
# KBa2PW

Crystalline KBa2PW at its relaxed geometry (GGA-PBE, the Alexandria database).

abc: 5.930 5.930 5.974
angles: 90.00 90.00 90.00
Positions (direct):
K  0.000  0.000  0.000
Ba  0.000  0.500  0.500
Ba  0.500  0.000  0.500
P  0.500  0.500  0.000
W  0.000  0.000  0.500

Computed properties:
* energy relative to the lowest polymorph listed for this composition: 0.948 eV per atom
* V: 210 Å³/cell
* crystal system: tetragonal
* total moment: 3.067 μB per formula unit
* formation energy: 28.37 kcal/mol of atoms

---

[2]
# TeI2ClF

Crystalline TeI2ClF at its relaxed geometry (GGA-PBE, the Alexandria database).

abc: 5.677 5.677 5.355
angles: 90.00 90.00 90.00
Positions (direct):
Te  0.000  0.000  0.000
I  0.000  0.500  0.500
I  0.500  0.000  0.500
Cl  0.000  0.000  0.500
F  0.500  0.500  0.000

Computed properties:
* energy relative to the lowest polymorph listed for this composition: 0.414 eV per atom
* V: 173 Å³/cell
* crystal system: tetragonal
* total moment: 1.317 μB per formula unit
* formation energy from raw total energies: 240 kJ/mol of formula units